No. 1
Compound: NaGaTe2
Source: Alexandria via LeMat-Bulk
Functional: PBE-GGA
Structure: optimized geometry

Computed properties:
formation energy (no corrections): -0.543 eV/atom

a b c (Å): 4.300 7.486 8.709
angles (deg): 92.42 92.69 101.44
Fractional coordinates of all 8 atoms:
Na1 0.000 0.000 0.000
Na2 0.146 0.469 0.250
Ga1 0.500 0.420 0.759
Ga2 0.691 0.936 0.524
Te1 0.150 0.878 0.342
Te2 0.503 0.774 0.775
Te3 0.568 0.306 0.031
Te4 0.923 0.303 0.579

***

No. 2
Compound: Rb2MgF5
Source: Alexandria via LeMat-Bulk
Functional: PBE-GGA
Structure: optimized geometry

Computed properties:
excess energy over the best structure of this formula in the dataset: 0 meV per atom
formation energy (no corrections): -2.696 eV/atom

a b c (Å): 7.765 5.862 12.284
angles (deg): 90.00 90.00 90.00
Fractional coordinates of all 32 atoms:
Rb1 0.014 0.250 0.222
Rb2 0.154 0.750 0.415
Rb3 0.346 0.250 0.915
Rb4 0.486 0.750 0.722
Rb5 0.514 0.250 0.278
Rb6 0.654 0.750 0.085
Rb7 0.846 0.250 0.585
Rb8 0.986 0.750 0.778
Mg1 0.156 0.750 0.057
Mg2 0.344 0.250 0.557
Mg3 0.656 0.750 0.443
Mg4 0.844 0.250 0.943
F1 0.000 0.000 0.000
F2 0.000 0.500 0.000
F3 0.019 0.750 0.193
F4 0.186 0.014 0.619
F5 0.186 0.486 0.619
F6 0.218 0.250 0.416
F7 0.282 0.750 0.916
F8 0.314 0.514 0.119
F9 0.314 0.986 0.119
F10 0.481 0.250 0.693
F11 0.500 0.000 0.500
F12 0.500 0.500 0.500
F13 0.519 0.750 0.307
F14 0.686 0.014 0.881
F15 0.686 0.486 0.881
F16 0.718 0.250 0.084
F17 0.782 0.750 0.584
F18 0.814 0.514 0.381
F19 0.814 0.986 0.381
F20 0.981 0.250 0.807

***

No. 3
Compound: Nd2SbAs3Ir4
Source: Alexandria via LeMat-Bulk
Functional: PBE-GGA
Structure: optimized geometry

Computed properties:
formation energy (no corrections): -0.669 eV/atom

a b c (Å): 4.261 4.261 10.711
angles (deg): 90.00 90.00 90.00
Fractional coordinates of all 10 atoms:
Nd1 0.000 0.500 0.236
Nd2 0.500 0.000 0.764
Sb1 0.000 0.000 0.500
As1 0.000 0.500 0.866
As2 0.500 0.000 0.134
As3 0.500 0.500 0.500
Ir1 0.000 0.000 0.000
Ir2 0.000 0.500 0.639
Ir3 0.500 0.000 0.361
Ir4 0.500 0.500 0.000

***

No. 4
Compound: Sm5Th2
Source: Alexandria via LeMat-Bulk
Functional: PBE-GGA
Structure: optimized geometry

Computed properties:
formation energy: 0.142 eV/atom

a b c (Å): 9.437 6.009 9.229
angles (deg): 90.00 117.35 90.00
Fractional coordinates of all 14 atoms:
Sm1 0.000 0.000 0.000
Sm2 0.070 0.500 0.718
Sm3 0.139 0.000 0.429
Sm4 0.361 0.500 0.571
Sm5 0.430 0.000 0.282
Sm6 0.500 0.500 0.000
Sm7 0.570 0.000 0.718
Sm8 0.639 0.500 0.429
Sm9 0.861 0.000 0.571
Sm10 0.930 0.500 0.282
Th1 0.210 0.500 0.136
Th2 0.290 0.000 0.864
Th3 0.710 0.000 0.136
Th4 0.790 0.500 0.864

***

No. 5
Compound: CsV3Zn
Source: Alexandria via LeMat-Bulk
Functional: PBE-GGA
Structure: optimized geometry

Computed properties:
excess energy over the best structure of this formula in the dataset: 0 meV per atom
formation energy: 1.503 eV/atom

a b c (Å): 5.085 5.085 5.085
angles (deg): 90.00 90.00 90.00
Fractional coordinates of all 5 atoms:
Cs1 0.000 0.000 0.000
V1 0.000 0.500 0.500
V2 0.500 0.000 0.500
V3 0.500 0.500 0.000
Zn1 0.500 0.500 0.500

***

No. 6
Compound: CsBi2As2S6
Source: Alexandria via LeMat-Bulk
Functional: PBE-GGA
Structure: optimized geometry

Computed properties:
formation energy (no corrections): -0.334 eV/atom

a b c (Å): 6.950 8.409 9.159
angles (deg): 111.60 98.09 98.01
Fractional coordinates of all 11 atoms:
Cs1 0.000 0.000 0.000
Bi1 0.266 0.583 0.611
Bi2 0.734 0.417 0.389
As1 0.390 0.093 0.444
As2 0.610 0.907 0.556
S1 0.049 0.276 0.408
S2 0.410 0.643 0.383
S3 0.488 0.051 0.218
S4 0.512 0.949 0.782
S5 0.590 0.357 0.617
S6 0.951 0.724 0.592

***

No. 7
Compound: In6SbPb2
Source: Alexandria via LeMat-Bulk
Functional: PBE-GGA
Structure: optimized geometry

Computed properties:
formation energy (no corrections): 0.057 eV/atom

a b c (Å): 4.122 8.798 8.798
angles (deg): 122.38 90.00 90.00
Fractional coordinates of all 9 atoms:
In1 0.000 0.000 0.000
In2 0.000 0.486 0.774
In3 0.000 0.774 0.486
In4 0.500 0.134 0.748
In5 0.500 0.355 0.355
In6 0.500 0.748 0.134
Sb1 0.500 0.726 0.726
Pb1 0.000 0.098 0.411
Pb2 0.000 0.411 0.098

***

No. 8
Compound: DyMg9Pd3
Source: Alexandria via LeMat-Bulk
Functional: PBE-GGA
Structure: optimized geometry

Computed properties:
formation energy: -0.380 eV/atom

a b c (Å): 7.543 7.543 7.167
angles (deg): 97.71 97.71 136.25
Fractional coordinates of all 13 atoms:
Dy1 0.000 0.000 0.000
Mg1 0.000 0.000 0.500
Mg2 0.018 0.665 0.674
Mg3 0.297 0.519 0.788
Mg4 0.335 0.982 0.326
Mg5 0.481 0.703 0.212
Mg6 0.519 0.297 0.788
Mg7 0.665 0.018 0.674
Mg8 0.703 0.481 0.212
Mg9 0.982 0.335 0.326
Pd1 0.000 0.500 0.000
Pd2 0.500 0.000 0.000
Pd3 0.500 0.500 0.500

***

No. 9
Compound: PmPuH2O6
Source: Alexandria via LeMat-Bulk
Functional: PBE-GGA
Structure: optimized geometry

Computed properties:
VASP energy: -77.421 eV/f.u.

a b c (Å): 5.192 5.423 5.987
angles (deg): 63.94 68.08 64.53
Fractional coordinates of all 10 atoms:
Pm1 0.000 0.000 0.000
Pu1 0.500 0.500 0.500
H1 0.084 0.275 0.281
H2 0.916 0.725 0.719
O1 0.087 0.740 0.738
O2 0.275 0.569 0.276
O3 0.409 0.150 0.719
O4 0.591 0.850 0.281
O5 0.725 0.431 0.724
O6 0.913 0.260 0.262

***

No. 10
Compound: ReSbTe
Source: Alexandria via LeMat-Bulk
Functional: PBE-GGA
Structure: optimized geometry

Computed properties:
excess energy over the best structure of this formula in the dataset: 1320 meV per atom
formation energy (no corrections): 1.416 eV/atom

a b c (Å): 6.680 6.680 6.680
angles (deg): 90.00 90.00 90.00
Fractional coordinates of all 12 atoms:
Re1 0.000 0.000 0.000
Re2 0.000 0.500 0.500
Re3 0.500 0.000 0.500
Re4 0.500 0.500 0.000
Sb1 0.000 0.000 0.500
Sb2 0.000 0.500 0.000
Sb3 0.500 0.000 0.000
Sb4 0.500 0.500 0.500
Te1 0.250 0.250 0.250
Te2 0.250 0.750 0.750
Te3 0.750 0.250 0.750
Te4 0.750 0.750 0.250

***

No. 11
Compound: Pm5Dy3
Source: Alexandria via LeMat-Bulk
Functional: PBE-GGA
Structure: optimized geometry

Computed properties:
formation energy: 0.018 eV/atom

a b c (Å): 3.612 3.612 20.411
angles (deg): 90.00 90.00 90.00
Fractional coordinates of all 8 atoms:
Pm1 0.000 0.000 0.000
Pm2 0.000 0.000 0.248
Pm3 0.000 0.000 0.752
Pm4 0.500 0.500 0.376
Pm5 0.500 0.500 0.624
Dy1 0.000 0.000 0.500
Dy2 0.500 0.500 0.124
Dy3 0.500 0.500 0.876

***

No. 12
Compound: Mg2Zn2Ru
Source: Alexandria via LeMat-Bulk
Functional: PBE-GGA
Structure: optimized geometry

Computed properties:
excess energy over the best structure of this formula in the dataset: 0 meV per atom
formation energy: -0.089 eV/atom

a b c (Å): 7.650 4.389 5.396
angles (deg): 90.00 118.53 90.00
Fractional coordinates of all 10 atoms:
Mg1 0.207 0.000 0.122
Mg2 0.293 0.500 0.878
Mg3 0.707 0.500 0.122
Mg4 0.793 0.000 0.878
Zn1 0.106 0.500 0.319
Zn2 0.394 0.000 0.681
Zn3 0.606 0.000 0.319
Zn4 0.894 0.500 0.681
Ru1 0.000 0.000 0.500
Ru2 0.500 0.500 0.500

***

No. 13
Compound: Nd4SmHoEr2
Source: Alexandria via LeMat-Bulk
Functional: PBE-GGA
Structure: optimized geometry

Computed properties:
formation energy: 0.016 eV/atom

a b c (Å): 6.258 3.625 11.888
angles (deg): 90.00 100.21 90.00
Fractional coordinates of all 8 atoms:
Nd1 0.249 0.000 0.248
Nd2 0.250 0.500 0.750
Nd3 0.750 0.500 0.250
Nd4 0.751 0.000 0.752
Sm1 0.500 0.500 0.500
Ho1 0.500 0.000 0.000
Er1 0.000 0.000 0.500
Er2 0.000 0.500 0.000

***

No. 14
Compound: HfNb2Tl
Source: Alexandria via LeMat-Bulk
Functional: PBE-GGA
Structure: optimized geometry

Computed properties:
excess energy over the best structure of this formula in the dataset: 0 meV per atom
formation energy: 0.132 eV/atom

a b c (Å): 4.145 4.145 4.660
angles (deg): 90.00 90.00 90.00
Fractional coordinates of all 4 atoms:
Hf1 0.000 0.000 0.000
Nb1 0.000 0.500 0.500
Nb2 0.500 0.000 0.500
Tl1 0.500 0.500 0.000

***

No. 15
Compound: ScZn2Mo
Source: Alexandria via LeMat-Bulk
Functional: PBE-GGA
Structure: optimized geometry

Computed properties:
excess energy over the best structure of this formula in the dataset: 140 meV per atom
formation energy: 0.067 eV/atom

a b c (Å): 9.602 2.839 5.030
angles (deg): 90.00 99.31 90.00
Fractional coordinates of all 8 atoms:
Sc1 0.000 0.000 0.000
Sc2 0.500 0.500 0.000
Zn1 0.245 0.000 0.724
Zn2 0.255 0.500 0.276
Zn3 0.745 0.500 0.724
Zn4 0.755 0.000 0.276
Mo1 0.000 0.500 0.500
Mo2 0.500 0.000 0.500

***

No. 16
Compound: Na2PuTcO6
Source: Alexandria via LeMat-Bulk
Functional: PBE-GGA
Structure: optimized geometry

Computed properties:
formation energy (no corrections): -1.975 eV/atom

a b c (Å): 5.736 5.736 4.246
angles (deg): 90.00 90.00 90.00
Fractional coordinates of all 10 atoms:
Na1 0.000 0.500 0.000
Na2 0.500 0.000 0.000
Pu1 0.000 0.000 0.585
Tc1 0.500 0.500 0.542
O1 0.000 0.000 0.093
O2 0.265 0.265 0.615
O3 0.265 0.735 0.615
O4 0.500 0.500 0.119
O5 0.735 0.265 0.615
O6 0.735 0.735 0.615

***

No. 17
Compound: Ba2Tl2Pb
Source: Alexandria via LeMat-Bulk
Functional: PBE-GGA
Structure: optimized geometry

Computed properties:
excess energy over the best structure of this formula in the dataset: 391 meV per atom
formation energy: -0.025 eV/atom

a b c (Å): 5.644 5.644 13.583
angles (deg): 90.00 90.00 90.00
Fractional coordinates of all 10 atoms:
Ba1 0.000 0.500 0.250
Ba2 0.000 0.500 0.750
Ba3 0.500 0.000 0.250
Ba4 0.500 0.000 0.750
Tl1 0.000 0.000 0.101
Tl2 0.000 0.000 0.899
Tl3 0.500 0.500 0.399
Tl4 0.500 0.500 0.601
Pb1 0.000 0.000 0.500
Pb2 0.500 0.500 0.000

***

No. 18
Compound: Ta5NbOs4
Source: Alexandria via LeMat-Bulk
Functional: PBE-GGA
Structure: optimized geometry

Computed properties:
excess energy over the best structure of this formula in the dataset: 0 meV per atom
formation energy: -0.276 eV/atom

a b c (Å): 7.198 7.198 5.531
angles (deg): 104.97 104.97 36.68
Fractional coordinates of all 10 atoms:
Ta1 0.000 0.000 0.000
Ta2 0.200 0.200 0.298
Ta3 0.401 0.401 0.103
Ta4 0.599 0.599 0.897
Ta5 0.800 0.800 0.702
Nb1 0.000 0.000 0.500
Os1 0.203 0.203 0.802
Os2 0.397 0.397 0.595
Os3 0.603 0.603 0.405
Os4 0.797 0.797 0.198

***

No. 19
Compound: TbEr4Cu
Source: Alexandria via LeMat-Bulk
Functional: PBE-GGA
Structure: optimized geometry

Computed properties:
formation energy: -0.061 eV/atom

a b c (Å): 3.475 3.475 13.646
angles (deg): 90.00 90.00 90.00
Fractional coordinates of all 6 atoms:
Tb1 0.000 0.000 0.000
Er1 0.000 0.000 0.376
Er2 0.000 0.000 0.624
Er3 0.500 0.500 0.185
Er4 0.500 0.500 0.815
Cu1 0.500 0.500 0.500

***

No. 20
Compound: LiDyZn2Ag4
Source: Alexandria via LeMat-Bulk
Functional: PBE-GGA
Structure: optimized geometry

Computed properties:
formation energy: -0.200 eV/atom

a b c (Å): 8.191 8.191 8.191
angles (deg): 32.91 32.91 32.91
Fractional coordinates of all 8 atoms:
Li1 0.000 0.000 0.000
Dy1 0.500 0.500 0.500
Zn1 0.248 0.248 0.248
Zn2 0.752 0.752 0.752
Ag1 0.109 0.109 0.109
Ag2 0.369 0.369 0.369
Ag3 0.631 0.631 0.631
Ag4 0.891 0.891 0.891

***

No. 21
Compound: LiCa4Si2
Source: Alexandria via LeMat-Bulk
Functional: PBE-GGA
Structure: optimized geometry

Computed properties:
formation energy (no corrections): -0.370 eV/atom

a b c (Å): 8.760 8.760 8.760
angles (deg): 33.79 33.79 33.79
Fractional coordinates of all 7 atoms:
Li1 0.000 0.000 0.000
Ca1 0.129 0.129 0.129
Ca2 0.381 0.381 0.381
Ca3 0.619 0.619 0.619
Ca4 0.871 0.871 0.871
Si1 0.255 0.255 0.255
Si2 0.745 0.745 0.745

***

No. 22
Compound: ZnGa2Co2
Source: Alexandria via LeMat-Bulk
Functional: PBE-GGA
Structure: optimized geometry

Computed properties:
excess energy over the best structure of this formula in the dataset: 330 meV per atom
formation energy: 0.173 eV/atom

a b c (Å): 3.510 3.510 12.011
angles (deg): 90.00 90.00 90.00
Fractional coordinates of all 10 atoms:
Zn1 0.000 0.000 0.000
Zn2 0.500 0.500 0.500
Ga1 0.000 0.000 0.393
Ga2 0.000 0.000 0.607
Ga3 0.500 0.500 0.107
Ga4 0.500 0.500 0.893
Co1 0.000 0.500 0.250
Co2 0.000 0.500 0.750
Co3 0.500 0.000 0.250
Co4 0.500 0.000 0.750

***

No. 23
Compound: TaInCo
Source: Alexandria via LeMat-Bulk
Functional: PBE-GGA
Structure: optimized geometry

Computed properties:
formation energy: 0.205 eV/atom

a b c (Å): 4.440 4.440 2.866
angles (deg): 90.00 90.00 120.00
Fractional coordinates of all 3 atoms:
Ta1 0.000 0.000 0.000
In1 0.667 0.333 0.503
Co1 0.333 0.667 0.469

***

No. 24
Compound: PrDyCu2Ge2
Source: Alexandria via LeMat-Bulk
Functional: PBE-GGA
Structure: optimized geometry

Computed properties:
formation energy: -0.674 eV/atom

a b c (Å): 4.283 4.283 7.640
angles (deg): 90.00 90.00 120.00
Fractional coordinates of all 6 atoms:
Pr1 0.000 0.000 0.000
Dy1 0.000 0.000 0.500
Cu1 0.333 0.667 0.728
Cu2 0.667 0.333 0.272
Ge1 0.333 0.667 0.262
Ge2 0.667 0.333 0.738

***

So what do the calculations give for V? Going down the list: 274.1, 559.1, 194.5, 464.8, 131.5, 482.0, 269.5, 263.1, 133.1, 298.0, 266.3, 159.1, 265.4, 80.1, 135.3, 139.7, 432.6, 164.7, 164.8, 144.3, 185.3, 148.0, 48.9, 121.4 Å³/cell.